# 1
First-principles (GGA+U) data for an optimized crystal structure of ZrW3F, as listed in Alexandria.

The structure in CIF format:
```
data_ZrW3F
_cell_length_a 4.420
_cell_length_b 4.420
_cell_length_c 4.420
_cell_angle_alpha 90.00
_cell_angle_beta 90.00
_cell_angle_gamma 90.00
_symmetry_space_group_name_H-M 'P 1'
_symmetry_Int_Tables_number 1
_symmetry_space_group_name_Hall 'P 1'
loop_
_atom_site_label
_atom_site_fract_x
_atom_site_fract_y
_atom_site_fract_z
Zr1 0.000 0.000 0.000
W1 0.000 0.500 0.500
W2 0.500 0.000 0.500
W3 0.500 0.500 0.000
F1 0.500 0.500 0.500
```

E: -0.1992 Ha/atom
SG: Pm-3m, No. 221
ρ: 12.73 g/cm3


# 2
First-principles (GGA+U) data for an optimized crystal structure of ZrWF2, as listed in Alexandria.

The structure in CIF format:
```
data_ZrWF2
_cell_length_a 4.402
_cell_length_b 4.402
_cell_length_c 4.402
_cell_angle_alpha 60.00
_cell_angle_beta 60.00
_cell_angle_gamma 60.00
_symmetry_space_group_name_H-M 'P 1'
_symmetry_Int_Tables_number 1
_symmetry_space_group_name_Hall 'P 1'
loop_
_atom_site_label
_atom_site_fract_x
_atom_site_fract_y
_atom_site_fract_z
Zr1 0.000 0.000 0.000
W1 0.500 0.500 0.500
F1 0.250 0.250 0.250
F2 0.750 0.750 0.750
```

E: -0.1882 Ha/atom
SG: Fm-3m, No. 225
ρ: 8.62 g/cm3